(1)
# Rb4BeHg2As2, optimized geometry, DFT PBE-GGA
data_Rb4BeHg2As2
_chemical_formula_sum 'Rb8 Be2 Hg4 As4'
_space_group_name_H-M_alt 'C 1 2/m 1'
_space_group_IT_number 12
_cell_length_a 11.6718
_cell_length_b 9.2429
_cell_length_c 6.0496
_cell_angle_alpha 90.00
_cell_angle_beta 91.60
_cell_angle_gamma 90.00
loop_
_space_group_symop_operation_xyz
'x,y,z'
'-x,-y,-z'
'-x,y,-z'
'x,-y,z'
'x+1/2,y+1/2,z'
'-x+1/2,-y+1/2,-z'
'-x+1/2,y+1/2,-z'
'x+1/2,-y+1/2,z'
loop_
_atom_site_label
_atom_site_fract_x
_atom_site_fract_y
_atom_site_fract_z
Rb1 0.1254 0.2415 0.1985
Be1 0.0000 0.0000 0.5000
Hg1 0.1345 0.5000 0.6548
As1 0.1558 0.0000 0.6800
# Electronic total energy   -2.23 eV per atom
# E_form   -282 meV/atom



(2)
# BeZnInNiPd, optimized geometry, DFT PBE-GGA
data_BeZnInNiPd
_chemical_formula_sum 'Be2 Zn2 In2 Ni2 Pd2'
_space_group_name_H-M_alt 'C 1 m 1'
_space_group_IT_number 8
_cell_length_a 9.5709
_cell_length_b 3.0744
_cell_length_c 6.5153
_cell_angle_alpha 90.00
_cell_angle_beta 132.72
_cell_angle_gamma 90.00
loop_
_space_group_symop_operation_xyz
'x,y,z'
'x,-y,z'
'x+1/2,y+1/2,z'
'x+1/2,-y+1/2,z'
loop_
_atom_site_label
_atom_site_fract_x
_atom_site_fract_y
_atom_site_fract_z
Be1 0.0000 0.0000 0.0000
Zn1 0.2887 0.5000 0.2250
In1 0.1402 0.5000 0.4847
Ni1 0.3057 0.0000 0.9427
Pd1 0.4656 0.0000 0.6939
# Electronic total energy   -3.96 eV per atom
# Relative energy among the computed polymorphs   39 meV/atom
# E_form   -215 meV/atom



(3)
# LiNd3Sm2S6, optimized geometry, DFT PBE-GGA
data_LiNd3Sm2S6
_chemical_formula_sum 'Li2 Nd6 Sm4 S12'
_space_group_name_H-M_alt 'C 1 2/m 1'
_space_group_IT_number 12
_cell_length_a 6.9292
_cell_length_b 12.0450
_cell_length_c 6.9707
_cell_angle_alpha 90.00
_cell_angle_beta 109.54
_cell_angle_gamma 90.00
loop_
_space_group_symop_operation_xyz
'x,y,z'
'-x,-y,-z'
'-x,y,-z'
'x,-y,z'
'x+1/2,y+1/2,z'
'-x+1/2,-y+1/2,-z'
'-x+1/2,y+1/2,-z'
'x+1/2,-y+1/2,z'
loop_
_atom_site_label
_atom_site_fract_x
_atom_site_fract_y
_atom_site_fract_z
Li1 0.0000 0.0000 0.0000
Nd1 0.0000 0.1660 0.5000
Nd2 0.0000 0.5000 0.5000
Sm1 0.0000 0.3343 0.0000
S1 0.2423 0.1626 0.2402
S2 0.2441 0.0000 0.7623
# Electronic total energy   -6.16 eV per atom



(4)
# Zn2Ni8Ir3, optimized geometry, DFT PBE-GGA
data_Zn2Ni8Ir3
_chemical_formula_sum 'Zn4 Ni16 Ir6'
_space_group_name_H-M_alt 'C 1 2/m 1'
_space_group_IT_number 12
_cell_length_a 10.7272
_cell_length_b 6.7460
_cell_length_c 4.6579
_cell_angle_alpha 90.00
_cell_angle_beta 101.06
_cell_angle_gamma 90.00
loop_
_space_group_symop_operation_xyz
'x,y,z'
'-x,-y,-z'
'-x,y,-z'
'x,-y,z'
'x+1/2,y+1/2,z'
'-x+1/2,-y+1/2,-z'
'-x+1/2,y+1/2,-z'
'x+1/2,-y+1/2,z'
loop_
_atom_site_label
_atom_site_fract_x
_atom_site_fract_y
_atom_site_fract_z
Zn1 0.1046 0.0000 0.4047
Ni1 0.1161 0.0000 0.9131
Ni2 0.1886 0.5000 0.2609
Ni3 0.2020 0.3158 0.7490
Ir1 0.0000 0.3049 0.0000
Ir2 0.0000 0.5000 0.5000
# Electronic total energy   -5.70 eV per atom
# E_form   98 meV/atom



- Which of these has the highest electronic total energy?
  Rb4BeHg2As2